Density functional theory data (PBE) for crystalline MnIr5RhW2 at its relaxed geometry.

Output
total energy = -163.6 eV/cell
SG = No. 140
energy of formation from the pure elements = 0.5458 eV per atom

a = 7.594 Å, b = 7.594 Å, c = 7.594 Å
α = 121.64°, β = 121.64°, γ = 87.18°
Positions (direct):
Mn 0.250 0.250 0.000
Mn 0.750 0.750 0.000
Ir 0.000 0.000 0.000
Ir 0.070 0.570 0.891
Ir 0.178 0.070 0.500
Ir 0.322 0.822 0.891
Ir 0.430 0.322 0.500
Ir 0.500 0.500 0.000
Ir 0.570 0.678 0.500
Ir 0.678 0.178 0.109
Ir 0.822 0.930 0.500
Ir 0.930 0.430 0.109
Rh 0.250 0.750 0.500
Rh 0.750 0.250 0.500
W 0.115 0.385 0.500
W 0.385 0.885 0.270
W 0.615 0.115 0.730
W 0.885 0.615 0.500



Density functional theory data (PBE) for crystalline ZrMnIrRh at its relaxed geometry.

Output
total energy = -144.5 eV/cell
SG = No. 216
energy of formation from the pure elements = -0.5514 eV per atom

a = 6.385 Å, b = 6.385 Å, c = 6.385 Å
α = 90.00°, β = 90.00°, γ = 90.00°
Positions (direct):
Zr 0.000 0.000 0.000
Zr 0.000 0.500 0.500
Zr 0.500 0.000 0.500
Zr 0.500 0.500 0.000
Mn 0.000 0.000 0.500
Mn 0.000 0.500 0.000
Mn 0.500 0.000 0.000
Mn 0.500 0.500 0.500
Ir 0.250 0.250 0.250
Ir 0.250 0.750 0.750
Ir 0.750 0.250 0.750
Ir 0.750 0.750 0.250
Rh 0.250 0.250 0.750
Rh 0.250 0.750 0.250
Rh 0.750 0.250 0.250
Rh 0.750 0.750 0.750



Density functional theory data (PBE) for crystalline MnIr3Ru at its relaxed geometry.

Output
total energy = -90.9 eV/cell
polymorph energy (0 for the lowest one) = 0.00 eV per formula unit
SG = No. 12
energy of formation from the pure elements = -0.0804 eV per atom

a = 7.131 Å, b = 7.131 Å, c = 5.405 Å
α = 100.23°, β = 100.23°, γ = 31.12°
Positions (direct):
Mn 0.198 0.198 0.342
Mn 0.802 0.802 0.658
Ir 0.001 0.001 0.248
Ir 0.202 0.202 0.845
Ir 0.395 0.395 0.455
Ir 0.605 0.605 0.545
Ir 0.798 0.798 0.155
Ir 0.999 0.999 0.752
Ru 0.398 0.398 0.948
Ru 0.602 0.602 0.052



Density functional theory data (PBE) for crystalline MnIr2Ru at its relaxed geometry.

Output
total energy = -73.1 eV/cell
SG = No. 119
energy of formation from the pure elements = -0.0908 eV per atom

a = 3.799 Å, b = 3.799 Å, c = 7.639 Å
α = 90.00°, β = 90.00°, γ = 90.00°
Positions (direct):
Mn 0.000 0.000 0.000
Mn 0.500 0.500 0.500
Ir 0.000 0.000 0.500
Ir 0.000 0.500 0.250
Ir 0.500 0.000 0.750
Ir 0.500 0.500 0.000
Ru 0.000 0.500 0.750
Ru 0.500 0.000 0.250



Density functional theory data (PBE) for crystalline Mn3IrRu at its relaxed geometry.

Output
total energy = -38.5 eV/cell
polymorph energy (0 for the lowest one) = 0.00 eV per formula unit
SG = No. 221
energy of formation from the pure elements = 1.4327 eV per atom

a = 4.689 Å, b = 4.689 Å, c = 4.689 Å
α = 90.00°, β = 90.00°, γ = 90.00°
Positions (direct):
Mn 0.000 0.000 0.500
Mn 0.000 0.500 0.000
Mn 0.500 0.000 0.000
Ir 0.000 0.000 0.000
Ru 0.500 0.500 0.500



Density functional theory data (PBE) for crystalline MnIr2Ru at its relaxed geometry.

Output
total energy = -107.8 eV/cell
SG = No. 160
energy of formation from the pure elements = 0.0581 eV per atom

a = 2.711 Å, b = 2.711 Å, c = 26.032 Å
α = 90.00°, β = 90.00°, γ = 120.00°
Positions (direct):
Mn 0.000 0.000 0.000
Mn 0.333 0.667 0.667
Mn 0.667 0.333 0.333
Ir 0.000 0.000 0.254
Ir 0.000 0.000 0.499
Ir 0.333 0.667 0.165
Ir 0.333 0.667 0.920
Ir 0.667 0.333 0.587
Ir 0.667 0.333 0.832
Ru 0.000 0.000 0.747
Ru 0.333 0.667 0.414
Ru 0.667 0.333 0.080



The lowest energy of formation from the pure elements belongs to which entry? ZrMnIrRh



Which value of energy of formation from the pure elements does entry 3 give? -0.0804 eV per atom



Repeat the second record exactly.
Density functional theory data (PBE) for crystalline ZrMnIrRh at its relaxed geometry.

Output
total energy = -144.5 eV/cell
SG = No. 216
energy of formation from the pure elements = -0.5514 eV per atom

a = 6.385 Å, b = 6.385 Å, c = 6.385 Å
α = 90.00°, β = 90.00°, γ = 90.00°
Positions (direct):
Zr 0.000 0.000 0.000
Zr 0.000 0.500 0.500
Zr 0.500 0.000 0.500
Zr 0.500 0.500 0.000
Mn 0.000 0.000 0.500
Mn 0.000 0.500 0.000
Mn 0.500 0.000 0.000
Mn 0.500 0.500 0.500
Ir 0.250 0.250 0.250
Ir 0.250 0.750 0.750
Ir 0.750 0.250 0.750
Ir 0.750 0.750 0.250
Rh 0.250 0.250 0.750
Rh 0.250 0.750 0.250
Rh 0.750 0.250 0.250
Rh 0.750 0.750 0.750